(1)
DFT (GGA-PBE) results for a relaxed ZrCrGaW2 crystal.

Cell: 4.5516 4.5303 4.5516 Å, 90.00 90.00 90.00°
Positions (direct):
W: 0.5000 0.0000 0.0000
W: 0.0000 0.0000 0.5000
Zr: 0.5000 0.5000 0.5000
Cr: 0.0000 0.0000 0.0000
Ga: 0.0000 0.5000 0.0000

Magnetization: 0.0 μB/cell
SG: P4/mmm, No. 123
Total DFT energy (no corrections): -42.50 eV for the cell shown

(2)
DFT (GGA-PBE) results for a relaxed YCrGa3 crystal.

Cell: 4.6413 4.6413 4.6413 Å, 90.00 90.00 90.00°
Positions (direct):
Ga: 0.0000 0.0000 0.5000
Ga: 0.0000 0.5000 0.0000
Cr: 0.0000 0.0000 0.0000
Y: 0.5000 0.5000 0.5000
Ga: 0.5000 0.0000 0.0000

Magnetization: 0.4 μB/cell
SG: Pm-3m, No. 221
Total DFT energy (no corrections): -25.90 eV for the cell shown

(3)
DFT (GGA-PBE) results for a relaxed Y4CrGa12 crystal.

Cell: 7.4841 7.4841 7.4841 Å, 109.47 109.47 109.47°
Positions (direct):
Ga: 0.0000 0.7115 0.7115
Ga: 0.5000 0.7500 0.2500
Ga: 0.7115 0.0000 0.7115
Ga: 0.0000 0.2885 0.2885
Y: 0.0000 0.0000 0.5000
Ga: 0.7500 0.5000 0.2500
Ga: 0.2885 0.2885 0.0000
Y: 0.0000 0.5000 0.0000
Y: 0.5000 0.0000 0.0000
Cr: 0.0000 0.0000 0.0000
Ga: 0.5000 0.2500 0.7500
Y: 0.5000 0.5000 0.5000
Ga: 0.2500 0.7500 0.5000
Ga: 0.2500 0.5000 0.7500
Ga: 0.7115 0.7115 0.0000
Ga: 0.2885 0.0000 0.2885
Ga: 0.7500 0.2500 0.5000

Magnetization: 2.1 μB/cell
SG: Im-3m, No. 229
Total DFT energy (no corrections): -80.40 eV for the cell shown

(4)
DFT (GGA-PBE) results for a relaxed Y2Cr2Ga crystal.

Cell: 6.7651 6.7651 4.4126 Å, 90.00 90.00 90.00°
Positions (direct):
Y: 0.6863 0.8137 0.5000
Cr: 0.1007 0.3993 0.0000
Y: 0.1863 0.6863 0.5000
Cr: 0.8993 0.6007 0.0000
Ga: 0.5000 0.5000 0.0000
Cr: 0.6007 0.1007 0.0000
Cr: 0.3993 0.8993 0.0000
Ga: 0.0000 0.0000 0.0000
Y: 0.3137 0.1863 0.5000
Y: 0.8137 0.3137 0.5000

Magnetization: 1.6 μB/cell
SG: P4/mbm, No. 127
Total DFT energy (no corrections): -69.64 eV for the cell shown

(5)
DFT (GGA-PBE) results for a relaxed YCr2Ga2 crystal.

Cell: 7.5394 7.5394 3.0461 Å, 90.00 90.00 90.00°
Positions (direct):
Ga: 0.1236 0.3764 0.0000
Ga: 0.8764 0.6236 0.0000
Cr: 0.3268 0.1732 0.5000
Y: 0.0000 0.0000 0.0000
Cr: 0.6732 0.8268 0.5000
Cr: 0.8268 0.3268 0.5000
Cr: 0.1732 0.6732 0.5000
Y: 0.5000 0.5000 0.0000
Ga: 0.6236 0.1236 0.0000
Ga: 0.3764 0.8764 0.0000

Magnetization: 10.4 μB/cell
Relative energy among the computed polymorphs: 161.1 meV per atom
SG: P4/mbm, No. 127
Total DFT energy (no corrections): -63.21 eV for the cell shown

(6)
DFT (GGA-PBE) results for a relaxed YCr3Ga crystal.

Cell: 4.7102 4.7102 4.7102 Å, 90.00 90.00 90.00°
Positions (direct):
Cr: 0.0000 0.0000 0.5000
Cr: 0.5000 0.0000 0.0000
Cr: 0.0000 0.5000 0.0000
Y: 0.5000 0.5000 0.5000
Ga: 0.0000 0.0000 0.0000

Magnetization: 10.0 μB/cell
Relative energy among the computed polymorphs: 0.0 meV per atom
SG: Pm-3m, No. 221
Total DFT energy (no corrections): -34.25 eV for the cell shown

(7)
DFT (GGA-PBE) results for a relaxed YCr2Ga crystal.

Cell: 4.1903 4.1903 9.5183 Å, 77.28 77.28 90.00°
Positions (direct):
Y: 0.0000 0.0000 0.0000
Ga: 0.5000 0.5000 0.0000
Cr: 0.8750 0.6799 0.7500
Cr: 0.3750 0.5701 0.7500
Cr: 0.3201 0.6250 0.2500
Ga: 0.2500 0.7500 0.5000
Cr: 0.4299 0.1250 0.2500
Y: 0.7500 0.2500 0.5000

Magnetization: 4.0 μB/cell
SG: I-42d, No. 122
Total DFT energy (no corrections): -53.68 eV for the cell shown

(8)
DFT (GGA-PBE) results for a relaxed Y3CrGa crystal.

Cell: 5.1959 5.1959 5.1959 Å, 90.00 90.00 90.00°
Positions (direct):
Y: 0.5000 0.0000 0.0000
Y: 0.0000 0.5000 0.0000
Ga: 0.5000 0.5000 0.5000
Y: 0.0000 0.0000 0.5000
Cr: 0.0000 0.0000 0.0000

Magnetization: 1.6 μB/cell
Relative energy among the computed polymorphs: 0.0 meV per atom
SG: Pm-3m, No. 221
Total DFT energy (no corrections): -30.12 eV for the cell shown

(9)
DFT (GGA-PBE) results for a relaxed Y2Cr2Ga crystal.

Cell: 4.8034 4.8034 6.1886 Å, 67.16 67.16 90.00°
Positions (direct):
Cr: 0.4150 0.4150 0.1701
Cr: 0.5850 0.5850 0.8299
Y: 0.2500 0.7500 0.5000
Y: 0.7500 0.2500 0.5000
Ga: 0.0000 0.0000 0.0000

Magnetization: 0.0 μB/cell
SG: I4/mmm, No. 139
Total DFT energy (no corrections): -31.09 eV for the cell shown

(10)
DFT (GGA-PBE) results for a relaxed YCr2Ga2 crystal.

Cell: 4.3313 4.3313 5.5974 Å, 67.24 67.24 90.00°
Positions (direct):
Y: 0.0000 0.0000 0.0000
Ga: 0.7500 0.2500 0.5000
Cr: 0.4007 0.4007 0.1985
Ga: 0.2500 0.7500 0.5000
Cr: 0.5993 0.5993 0.8015

Magnetization: 0.0 μB/cell
Relative energy among the computed polymorphs: 85.3 meV per atom
SG: I4/mmm, No. 139
Total DFT energy (no corrections): -31.98 eV for the cell shown

(11)
DFT (GGA-PBE) results for a relaxed YCr2Ga2 crystal.

Cell: 3.7419 3.7419 6.5047 Å, 73.28 73.28 90.00°
Positions (direct):
Ga: 0.6088 0.6088 0.7825
Cr: 0.7500 0.2500 0.5000
Cr: 0.2500 0.7500 0.5000
Ga: 0.3912 0.3912 0.2175
Y: 0.0000 0.0000 0.0000

Magnetization: 0.0 μB/cell
Relative energy among the computed polymorphs: 0.0 meV per atom
SG: I4/mmm, No. 139
Total DFT energy (no corrections): -32.41 eV for the cell shown

(12)
DFT (GGA-PBE) results for a relaxed YCr3Ga crystal.

Cell: 4.9553 4.9553 4.9553 Å, 90.00 90.00 90.00°
Positions (direct):
Cr: 0.0000 0.0000 0.5000
Ga: 0.5000 0.5000 0.5000
Cr: 0.5000 0.0000 0.0000
Cr: 0.0000 0.5000 0.0000
Y: 0.0000 0.0000 0.0000

Magnetization: 10.7 μB/cell
Relative energy among the computed polymorphs: 1119.5 meV per atom
SG: Pm-3m, No. 221
Total DFT energy (no corrections): -28.65 eV for the cell shown